Below is LiRe2 after structural relaxation, with properties calculated at the PBE level.

Cell lengths 5.168, 5.168, 5.168 Å; angles 60.00, 60.00, 60.00 degrees
Sites, in units of the cell vectors:
Li1 0.250 0.250 0.250
Li2 0.000 0.000 0.000
Re1 0.125 0.625 0.625
Re2 0.625 0.625 0.625
Re3 0.625 0.625 0.125
Re4 0.625 0.125 0.625

Total magnetization (μB per atom): 0.0004
Energy (eV per atom): -8.393


Below is RbPOsO after structural relaxation, with properties calculated at the PBE level.

Cell lengths 3.607, 7.965, 6.486 Å; angles 90.00, 90.00, 90.00 degrees
Sites, in units of the cell vectors:
Rb1 0.500 0.832 0.948
Rb2 0.500 0.168 0.448
Os1 0.000 0.583 0.531
Os2 0.000 0.417 0.031
O1 0.000 0.599 0.831
O2 0.000 0.401 0.331
P1 0.500 0.734 0.444
P2 0.500 0.266 0.944

Total magnetization (μB per atom): 0.0003
Energy (eV per atom): -6.117


Below is SmLuPa after structural relaxation, with properties calculated at the PBE level.

Cell lengths 5.236, 5.236, 5.236 Å; angles 60.00, 60.00, 60.00 degrees
Last column: magnetic moment on the atom in μB.
Sites, in units of the cell vectors:
Lu1 0.000 0.000 0.000  0.35
Sm1 0.750 0.750 0.750  0.16
Pa1 0.250 0.250 0.250  1.12

Total magnetization (μB per atom): 0.6926
Energy of formation from the pure elements (kJ/mol of formula units): 310


Below is LiTbCdTe3 after structural relaxation, with properties calculated at the PBE level.

Cell lengths 14.480, 4.358, 12.071 Å; angles 90.00, 90.00, 90.00 degrees
Sites, in units of the cell vectors:
Te1 0.836 0.250 0.270
Te2 0.387 0.750 0.923
Te3 0.164 0.750 0.730
Te4 0.400 0.250 0.622
Te5 0.336 0.250 0.230
Te6 0.600 0.750 0.378
Te7 0.100 0.750 0.122
Te8 0.613 0.250 0.077
Te9 0.664 0.750 0.770
Te10 0.887 0.750 0.577
Te11 0.900 0.250 0.878
Te12 0.113 0.250 0.423
Li1 0.278 0.250 0.817
Li2 0.778 0.250 0.683
Li3 0.222 0.750 0.317
Li4 0.722 0.750 0.183
Tb1 0.975 0.750 0.347
Tb2 0.025 0.250 0.653
Tb3 0.525 0.250 0.847
Tb4 0.475 0.750 0.153
Cd1 0.527 0.750 0.605
Cd2 0.027 0.750 0.895
Cd3 0.973 0.250 0.105
Cd4 0.473 0.250 0.395

Total magnetization (μB per atom): 0.0004
Energy (eV per atom): -3.765


Below is LiSiAg after structural relaxation, with properties calculated at the PBE level.

Cell lengths 5.319, 5.319, 4.330 Å; angles 113.98, 113.98, 71.60 degrees
Sites, in units of the cell vectors:
Li1 0.156 0.156 0.750
Li2 0.590 0.590 0.685
Ag1 0.728 0.201 0.060
Ag2 0.201 0.728 0.060
Si1 0.986 0.605 0.390
Si2 0.605 0.986 0.390

Energy (eV per atom): -3.516


Below is Cu2Te after structural relaxation, with properties calculated at the PBE level.

Cell lengths 8.491, 8.491, 43.124 Å; angles 90.00, 90.00, 120.00 degrees
Sites, in units of the cell vectors:
Cu1 0.333 0.667 0.102
Cu2 0.515 0.485 0.860
Cu3 0.170 0.340 0.178
Cu4 0.515 0.029 0.860
Cu5 0.514 0.486 0.029
Cu6 0.347 0.173 0.991
Cu7 0.173 0.827 0.009
Cu8 0.174 0.349 0.842
Cu9 0.029 0.515 0.140
Cu10 0.028 0.514 0.971
Cu11 0.830 0.170 0.822
Cu12 0.667 0.333 0.898
Cu13 0.498 0.996 0.801
Cu14 0.660 0.830 0.178
Cu15 0.514 0.028 0.029
Cu16 0.000 0.000 0.144
Cu17 0.333 0.667 0.938
Cu18 0.830 0.660 0.822
Cu19 0.486 0.514 0.971
Cu20 0.827 0.653 0.991
Cu21 0.826 0.174 0.158
Cu22 0.498 0.502 0.801
Cu23 0.667 0.333 0.188
Cu24 0.004 0.502 0.801
Cu25 0.502 0.004 0.199
Cu26 0.349 0.174 0.158
Cu27 0.486 0.972 0.971
Cu28 0.971 0.485 0.860
Cu29 0.333 0.667 0.812
Cu30 0.000 0.000 0.799
Cu31 0.000 0.000 0.028
Cu32 0.826 0.651 0.158
Cu33 0.502 0.498 0.199
Cu34 0.170 0.830 0.178
Cu35 0.667 0.333 0.062
Cu36 0.000 0.000 0.201
Cu37 0.653 0.827 0.009
Cu38 0.651 0.826 0.842
Cu39 0.972 0.486 0.029
Cu40 0.174 0.826 0.842
Cu41 0.173 0.347 0.009
Cu42 0.996 0.498 0.199
Cu43 0.485 0.515 0.140
Cu44 0.827 0.173 0.991
Cu45 0.000 0.000 0.856
Cu46 0.000 0.000 0.972
Cu47 0.485 0.971 0.140
Cu48 0.340 0.170 0.822
Te1 0.840 0.160 0.883
Te2 0.166 0.834 0.779
Te3 0.840 0.681 0.883
Te4 0.840 0.160 0.052
Te5 0.332 0.166 0.221
Te6 0.166 0.332 0.779
Te7 0.319 0.160 0.052
Te8 0.319 0.160 0.883
Te9 0.160 0.319 0.117
Te10 0.681 0.840 0.117
Te11 0.667 0.333 0.125
Te12 0.333 0.667 0.211
Te13 0.681 0.840 0.948
Te14 0.667 0.333 0.789
Te15 0.160 0.840 0.117
Te16 0.333 0.667 0.875
Te17 0.160 0.840 0.948
Te18 0.840 0.681 0.052
Te19 0.667 0.333 0.959
Te20 0.834 0.668 0.221
Te21 0.668 0.834 0.779
Te22 0.834 0.166 0.221
Te23 0.333 0.667 0.041
Te24 0.160 0.319 0.948

Energy (eV per atom): -3.541


Below is DyNbNi after structural relaxation, with properties calculated at the PBE level.

Cell lengths 4.441, 4.441, 4.441 Å; angles 60.00, 60.00, 60.00 degrees
Last column: magnetic moment on the atom in μB.
Sites, in units of the cell vectors:
Nb1 0.750 0.750 0.750  0.50
Dy1 0.250 0.250 0.250  0.11
Ni1 0.000 0.000 0.000  0.16

Total magnetization (μB per atom): 0.2794
Energy of formation from the pure elements (kJ/mol of formula units): 92


Below is TcNiSbIr after structural relaxation, with properties calculated at the PBE level.

Cell lengths 4.429, 4.429, 4.429 Å; angles 60.00, 60.00, 60.00 degrees
Sites, in units of the cell vectors:
Sb1 0.000 0.000 0.000
Ir1 0.500 0.500 0.500
Tc1 0.250 0.250 0.250
Ni1 0.750 0.750 0.750

Total magnetization (μB per atom): 0.0014
Energy (eV per atom): -7.016


Below is NaSnOs after structural relaxation, with properties calculated at the PBE level.

Cell lengths 4.483, 4.483, 4.483 Å; angles 60.00, 60.00, 60.00 degrees
Sites, in units of the cell vectors:
Os1 0.250 0.250 0.250
Na1 0.000 0.000 0.000
Sn1 0.750 0.750 0.750

Total magnetization (μB per atom): 0.3208
Energy (eV per atom): -4.009


Below is CuNiAsPt after structural relaxation, with properties calculated at the PBE level.

Cell lengths 4.267, 4.267, 4.267 Å; angles 60.00, 60.00, 60.00 degrees
Sites, in units of the cell vectors:
As1 0.000 0.000 0.000
Cu1 0.500 0.500 0.500
Ni1 0.750 0.750 0.750
Pt1 0.250 0.250 0.250

Total magnetization (μB per atom): 0.0018
Energy (eV per atom): -5.067


Below is Dy2AlSnPd4 after structural relaxation, with properties calculated at the PBE level.

Cell lengths 4.457, 4.457, 9.072 Å; angles 90.00, 90.00, 120.00 degrees
Sites, in units of the cell vectors:
Pd1 0.667 0.333 0.410
Pd2 0.333 0.667 0.922
Pd3 0.667 0.333 0.078
Pd4 0.333 0.667 0.590
Sn1 0.000 0.000 0.500
Al1 0.000 0.000 0.000
Dy1 0.333 0.667 0.246
Dy2 0.667 0.333 0.754

Total magnetization (μB per atom): 0.0015
Energy (eV per atom): -5.609


Below is NaZrPdSe3 after structural relaxation, with properties calculated at the PBE level.

Cell lengths 7.776, 3.819, 9.682 Å; angles 90.00, 106.69, 90.00 degrees
Sites, in units of the cell vectors:
Se1 0.922 0.250 0.151
Se2 0.706 0.750 0.453
Se3 0.078 0.750 0.849
Se4 0.294 0.250 0.547
Se5 0.422 0.250 0.130
Se6 0.578 0.750 0.870
Zr1 0.688 0.750 0.172
Zr2 0.312 0.250 0.828
Na1 0.762 0.250 0.719
Na2 0.238 0.750 0.281
Pd1 0.890 0.250 0.410
Pd2 0.110 0.750 0.590

Total magnetization (μB per atom): 0.0010
Energy (eV per atom): -5.292